[1]
PBE MgAl2Hg, relaxed; ΔE to the lowest computed polymorph = 0.000 eV/f.u.; SG = Pmm2 (25); energy of formation = 14 meV/atom
1.0
3.216 0.000 0.000
0.000 4.041 0.000
0.000 0.000 5.989
Mg Al Hg
1 2 1
Cartesian
0.000 0.000 0.000 Mg
0.000 0.000 2.852 Al
1.608 2.020 1.625 Al
1.608 2.020 4.525 Hg


[2]
PBE Mg2AlHg, relaxed; ΔE to the lowest computed polymorph = 0.141 eV/f.u.; SG = Cm (8); energy of formation = -49 meV/atom
1.0
5.106 -1.674 0.000
5.106 1.674 0.000
-0.961 0.000 4.883
Mg Al Hg
2 1 1
Cartesian
0.000 0.000 0.000 Mg
1.708 0.000 3.415 Mg
4.483 0.000 2.428 Al
7.453 0.000 1.018 Hg


[3]
PBE Mg8AlHg2, relaxed; ΔE to the lowest computed polymorph = 0.000 eV/f.u.; SG = Immm (71); energy of formation = -95 meV/atom
1.0
-2.313 3.727 6.943
2.313 -3.727 6.943
2.313 3.727 -6.943
Mg Al Hg
8 1 2
Cartesian
2.313 2.044 -2.170 Mg
0.000 0.000 2.153 Mg
0.000 2.160 0.000 Mg
2.313 2.044 2.170 Mg
0.000 1.683 4.773 Mg
0.000 5.293 0.000 Mg
0.000 0.000 11.732 Mg
0.000 1.683 9.112 Mg
2.313 0.000 0.000 Al
2.313 0.000 4.383 Hg
0.000 3.727 2.560 Hg


[4]
PBE Mg5AlHg6, relaxed; SG = C2/m (12); energy of formation = -161 meV/atom
1.0
4.233 -7.423 0.000
4.233 7.423 0.000
-2.865 0.000 4.058
Mg Al Hg
5 1 6
Cartesian
0.000 0.000 0.000 Mg
2.801 4.957 2.029 Mg
4.233 2.512 0.000 Mg
4.233 -2.512 0.000 Mg
2.801 -4.957 2.029 Mg
2.801 0.000 2.029 Al
1.418 2.451 1.027 Hg
-0.006 0.000 3.061 Hg
1.418 -2.451 1.027 Hg
4.183 2.451 3.030 Hg
5.607 0.000 0.996 Hg
4.183 -2.451 3.030 Hg


[5]
PBE Mg2AlHg, relaxed; ΔE to the lowest computed polymorph = 0.058 eV/f.u.; SG = I4/mmm (139); energy of formation = -70 meV/atom
1.0
-2.189 2.189 4.239
2.189 -2.189 4.239
2.189 2.189 -4.239
Mg Al Hg
2 1 1
Cartesian
2.189 0.000 2.119 Mg
0.000 2.189 2.119 Mg
0.000 0.000 0.000 Al
0.000 0.000 4.239 Hg


[6]
PBE MgAl2Hg, relaxed; ΔE to the lowest computed polymorph = 0.087 eV/f.u.; SG = R3m (160); energy of formation = 36 meV/atom
1.0
1.581 0.913 9.165
-1.581 0.913 9.165
0.000 -1.825 9.165
Mg Al Hg
1 2 1
Cartesian
0.000 0.000 0.000 Mg
0.000 0.000 13.702 Al
0.000 0.000 20.642 Al
0.000 0.000 6.820 Hg